No. 1
A plane-wave DFT calculation with GGA-PBE was carried out for crystalline Hf2BiSe at its relaxed geometry.

a b c (Å): 7.2542 7.2542 7.2542
angles (deg): 31.27 31.27 31.27
Positions (direct):
Hf1 0.0000 0.0000 0.0000
Hf2 0.1969 0.1969 0.1969
Bi1 0.7665 0.7665 0.7665
Se1 0.5977 0.5977 0.5977

Results
Relative energy among the computed polymorphs, eV/atom: 0.132
Volume, Å³ per atom: 22.815
Raw formation energy, meV/atom: -436
Spin magnetization, μB per formula unit: 0.000
VASP energy, eV per atom: -7.254



No. 2
A plane-wave DFT calculation with GGA-PBE was carried out for crystalline Sm2BiO at its relaxed geometry.

a b c (Å): 4.6255 4.6255 9.0858
angles (deg): 90.00 90.00 90.00
Positions (direct):
Sm1 0.2500 0.2500 0.1609
Sm2 0.2500 0.7500 0.5000
Sm3 0.7500 0.2500 0.5000
Sm4 0.7500 0.7500 0.8391
Bi1 0.2500 0.2500 0.7994
Bi2 0.7500 0.7500 0.2006
O1 0.2500 0.2500 0.4245
O2 0.7500 0.7500 0.5755

Results
Relative energy among the computed polymorphs, eV/atom: 0.000
Volume, Å³ per atom: 24.299
Raw formation energy, meV/atom: -1898
Spin magnetization, μB per formula unit: 0.000
VASP energy, eV per atom: -6.468



No. 3
A plane-wave DFT calculation with GGA-PBE was carried out for crystalline CuBrO2 at its relaxed geometry.

a b c (Å): 4.0259 4.0259 4.0259
angles (deg): 60.00 60.00 60.00
Positions (direct):
Cu1 0.0000 0.0000 0.0000
Br1 0.5000 0.5000 0.5000
O1 0.2500 0.2500 0.2500
O2 0.7500 0.7500 0.7500

Results
Volume, Å³ per atom: 11.535
Raw formation energy, meV/atom: 889
Spin magnetization, μB per formula unit: 0.000
VASP energy, eV per atom: -3.033



No. 4
A plane-wave DFT calculation with GGA-PBE was carried out for crystalline LiCaTmI6 at its relaxed geometry.

a b c (Å): 7.6664 7.6664 13.9084
angles (deg): 90.00 90.00 120.00
Positions (direct):
Li1 0.0000 0.0000 0.0000
Li2 0.0000 0.0000 0.5000
Ca1 0.3333 0.6667 0.2500
Ca2 0.6667 0.3333 0.7500
Tm1 0.3333 0.6667 0.7500
Tm2 0.6667 0.3333 0.2500
I1 0.0136 0.3456 0.6248
I2 0.0136 0.6681 0.8752
I3 0.3319 0.3456 0.8752
I4 0.3319 0.9864 0.6248
I5 0.3456 0.0136 0.1248
I6 0.3456 0.3319 0.3752
I7 0.6544 0.6681 0.6248
I8 0.6544 0.9864 0.8752
I9 0.6681 0.0136 0.3752
I10 0.6681 0.6544 0.1248
I11 0.9864 0.3319 0.1248
I12 0.9864 0.6544 0.3752

Results
Volume, Å³ per atom: 39.330
Raw formation energy, meV/atom: -1380
Spin magnetization, μB per formula unit: 0.000
VASP energy, eV per atom: -3.346



No. 5
A plane-wave DFT calculation with GGA-PBE was carried out for crystalline Pa2Cu2Te5 at its relaxed geometry.

a b c (Å): 10.4053 10.4053 10.4053
angles (deg): 61.38 135.87 139.57
Positions (direct):
Pa1 0.0724 0.0883 0.1607
Pa2 0.0724 0.4117 0.4842
Pa3 0.9276 0.5883 0.5158
Pa4 0.9276 0.9117 0.8393
Cu1 0.3137 0.6787 0.1350
Cu2 0.5437 0.1787 0.8650
Cu3 0.5970 0.0970 0.5000
Cu4 0.5970 0.5970 0.0000
Te1 0.0853 0.3375 0.8199
Te2 0.0853 0.7653 0.2477
Te3 0.1522 0.8216 0.8305
Te4 0.5176 0.2653 0.1801
Te5 0.5176 0.8375 0.7523
Te6 0.5208 0.2576 0.5678
Te7 0.5208 0.4530 0.7632
Te8 0.6898 0.7576 0.2368
Te9 0.6898 0.9530 0.4322
Te10 0.9911 0.3216 0.1695

Results
Volume, Å³ per atom: 27.945
Raw formation energy, meV/atom: -461
Spin magnetization, μB per formula unit: 2.114
VASP energy, eV per atom: -5.227



No. 6
A plane-wave DFT calculation with GGA-PBE was carried out for crystalline TbPm2PaSe4 at its relaxed geometry.

a b c (Å): 7.1730 4.1069 7.1919
angles (deg): 90.00 109.03 90.00
Positions (direct):
Tb1 0.0000 0.0000 0.0000
Pm1 0.5000 0.0000 0.5000
Pm2 0.5000 0.5000 0.0000
Pa1 0.0000 0.5000 0.5000
Se1 0.2412 0.5000 0.2468
Se2 0.2427 0.0000 0.7486
Se3 0.7573 0.0000 0.2514
Se4 0.7588 0.5000 0.7532

Results
Volume, Å³ per atom: 25.036
Raw formation energy, meV/atom: -1645
Spin magnetization, μB per formula unit: 0.646
VASP energy, eV per atom: -6.341